# CaSi2GeMo

CaSi2GeMo after structural relaxation (PBE, the Alexandria database).

Computed properties:
**Volume**: 24.55 A^3/atom
**Polymorph energy (0 for the lowest one)**: 603 meV per atom
**ρ**: 3.58 Mg/m³
**Formation energy from raw total energies**: 0.65 eV/atom
**Total energy**: -25.1 eV/cell

abc: 4.748 4.748 5.443
angles: 90.00 90.00 90.00
Fractional coordinates of all 5 atoms:
Ca (0.000, 0.000, 0.000)
Si (0.000, 0.500, 0.500)
Si (0.500, 0.000, 0.500)
Ge (0.500, 0.500, 0.000)
Mo (0.000, 0.000, 0.500)

# Rb3BiN

Rb3BiN after structural relaxation (PBE, the Alexandria database).

Computed properties:
**Volume**: 40.42 A^3/atom
**Polymorph energy (0 for the lowest one)**: 0 meV per atom
**ρ**: 3.94 Mg/m³
**Formation energy from raw total energies**: 0.40 eV/atom
**Total energy**: -13.1 eV/cell

abc: 5.868 5.868 5.868
angles: 90.00 90.00 90.00
Fractional coordinates of all 5 atoms:
Rb (0.000, 0.000, 0.500)
Rb (0.000, 0.500, 0.000)
Rb (0.500, 0.000, 0.000)
Bi (0.500, 0.500, 0.500)
N (0.000, 0.000, 0.000)

# Dy3TlRu

Dy3TlRu after structural relaxation (PBE, the Alexandria database).

Computed properties:
**Volume**: 29.96 A^3/atom
**Polymorph energy (0 for the lowest one)**: 200 meV per atom
**Formation enthalpy at 0 K**: -157 meV per atom
**ρ**: 8.79 Mg/m³
**Total energy**: -26.2 eV/cell

abc: 5.311 5.311 5.311
angles: 90.00 90.00 90.00
Fractional coordinates of all 5 atoms:
Dy (0.000, 0.000, 0.500)
Dy (0.000, 0.500, 0.000)
Dy (0.500, 0.000, 0.000)
Tl (0.500, 0.500, 0.500)
Ru (0.000, 0.000, 0.000)

# LiLa3I

LiLa3I after structural relaxation (PBE, the Alexandria database).

Computed properties:
**Volume**: 43.43 A^3/atom
**Polymorph energy (0 for the lowest one)**: 0 meV per atom
**ρ**: 4.21 Mg/m³
**Formation energy from raw total energies**: 0.07 eV/atom
**Total energy**: -17.9 eV/cell

abc: 6.010 6.010 6.010
angles: 90.00 90.00 90.00
Fractional coordinates of all 5 atoms:
Li (0.000, 0.000, 0.000)
La (0.000, 0.500, 0.500)
La (0.500, 0.000, 0.500)
La (0.500, 0.500, 0.000)
I (0.500, 0.500, 0.500)

# SrAl2AgF

SrAl2AgF after structural relaxation (PBE, the Alexandria database).

Computed properties:
**Volume**: 34.74 A^3/atom
**ρ**: 2.57 Mg/m³
**Formation energy from raw total energies**: -0.02 eV/atom
**Total energy**: -14.0 eV/cell

abc: 6.274 6.274 4.413
angles: 90.00 90.00 90.00
Fractional coordinates of all 5 atoms:
Sr (0.000, 0.000, 0.000)
Al (0.000, 0.500, 0.000)
Al (0.500, 0.000, 0.000)
Ag (0.500, 0.500, 0.500)
F (0.000, 0.000, 0.500)

# NdHo3H

NdHo3H after structural relaxation (PBE, the Alexandria database).

Computed properties:
**Volume**: 25.07 A^3/atom
**ρ**: 8.48 Mg/m³
**Total energy**: -22.7 eV/cell

abc: 5.004 5.004 5.004
angles: 90.00 90.00 90.00
Fractional coordinates of all 5 atoms:
Nd (0.000, 0.000, 0.000)
Ho (0.000, 0.500, 0.500)
Ho (0.500, 0.000, 0.500)
Ho (0.500, 0.500, 0.000)
H (0.500, 0.500, 0.500)

# Al2OsRu

Al2OsRu after structural relaxation (PBE, the Alexandria database).

Computed properties:
**Volume**: 14.06 A^3/atom
**Formation enthalpy at 0 K**: -447 meV per atom
**ρ**: 10.20 Mg/m³
**Total energy**: -59.6 eV/cell

abc: 9.376 2.881 4.396
angles: 90.00 108.77 90.00
Fractional coordinates of all 8 atoms:
Al (0.000, 0.000, 0.000)
Al (0.228, 0.000, 0.619)
Al (0.500, 0.500, 0.000)
Al (0.728, 0.500, 0.619)
Os (0.481, 0.000, 0.496)
Os (0.981, 0.500, 0.496)
Ru (0.246, 0.500, 0.120)
Ru (0.746, 0.000, 0.120)

# LaSbRh4

LaSbRh4 after structural relaxation (PBE, the Alexandria database).

Computed properties:
**Volume**: 18.34 A^3/atom
**Polymorph energy (0 for the lowest one)**: 0 meV per atom
**ρ**: 10.14 Mg/m³
**Formation energy from raw total energies**: -0.39 eV/atom
**Total energy**: -40.8 eV/cell

abc: 5.379 5.379 5.379
angles: 60.00 60.00 60.00
Fractional coordinates of all 6 atoms:
La (0.000, 0.000, 0.000)
Sb (0.250, 0.250, 0.250)
Rh (0.129, 0.624, 0.624)
Rh (0.624, 0.129, 0.624)
Rh (0.624, 0.624, 0.129)
Rh (0.624, 0.624, 0.624)

Which formula does entry 7 have? Al2OsRu

Which of these has the highest volume? LiLa3I

Look up the volume of the seventh one. 14.06 A^3/atom

What did the seventh record say?
# Al2OsRu

Al2OsRu after structural relaxation (PBE, the Alexandria database).

Computed properties:
**Volume**: 14.06 A^3/atom
**Formation enthalpy at 0 K**: -447 meV per atom
**ρ**: 10.20 Mg/m³
**Total energy**: -59.6 eV/cell

abc: 9.376 2.881 4.396
angles: 90.00 108.77 90.00
Fractional coordinates of all 8 atoms:
Al (0.000, 0.000, 0.000)
Al (0.228, 0.000, 0.619)
Al (0.500, 0.500, 0.000)
Al (0.728, 0.500, 0.619)
Os (0.481, 0.000, 0.496)
Os (0.981, 0.500, 0.496)
Ru (0.246, 0.500, 0.120)
Ru (0.746, 0.000, 0.120)